Entry 1:
Entry from Alexandria via LeMat-Bulk: a crystal of LuCrB4 relaxed with PBEsol (SCAN).

Total DFT energy (no corrections), eV per atom: -17.9935
Volume, Å³ per atom: 9.15
Space-group type: Pbam, No. 55
Formation enthalpy at 0 K, eV per atom: -0.752

The structure in CIF format:
```
data_LuCrB4
_chemical_formula_sum 'Lu4 Cr4 B16'
_cell_length_a 3.3391
_cell_length_b 5.8340
_cell_length_c 11.2667
_cell_angle_alpha 90.00
_cell_angle_beta 90.00
_cell_angle_gamma 90.00
_symmetry_space_group_name_H-M 'P 1'
_symmetry_Int_Tables_number 1
loop_
_symmetry_equiv_pos_as_xyz
'x,y,z'
loop_
_atom_site_label
_atom_site_type_symbol
_atom_site_fract_x
_atom_site_fract_y
_atom_site_fract_z
Cr1 Cr 0.0000 0.8766 0.5800
Cr2 Cr 0.0000 0.1234 0.4200
Cr3 Cr 0.0000 0.3766 0.9200
Cr4 Cr 0.0000 0.6234 0.0800
Lu1 Lu 0.0000 0.1255 0.1504
Lu2 Lu 0.0000 0.8745 0.8496
Lu3 Lu 0.0000 0.6255 0.3496
Lu4 Lu 0.0000 0.3745 0.6504
B1 B 0.5000 0.2828 0.3152
B2 B 0.5000 0.5242 0.8070
B3 B 0.5000 0.1141 0.5475
B4 B 0.5000 0.6141 0.9525
B5 B 0.5000 0.4758 0.1930
B6 B 0.5000 0.2172 0.8152
B7 B 0.5000 0.9758 0.3070
B8 B 0.5000 0.6353 0.5326
B9 B 0.5000 0.3647 0.4674
B10 B 0.5000 0.3859 0.0475
B11 B 0.5000 0.7828 0.1848
B12 B 0.5000 0.7172 0.6848
B13 B 0.5000 0.0242 0.6930
B14 B 0.5000 0.8859 0.4525
B15 B 0.5000 0.8647 0.0326
B16 B 0.5000 0.1353 0.9674
```

=====

Entry 2:
Entry from Alexandria via LeMat-Bulk: a crystal of Be2PtCl relaxed with PBEsol (SCAN).

Total DFT energy (no corrections), eV per atom: -21.7618
Volume, Å³ per atom: 12.58
Raw formation energy, eV per formula unit: -0.17
Space-group type: C2/m, No. 12
Excess energy over the best structure of this formula in the dataset, meV/atom: 643.5

The structure in CIF format:
```
data_Be2PtCl
_chemical_formula_sum 'Be2 Pt1 Cl1'
_cell_length_a 2.7343
_cell_length_b 4.2901
_cell_length_c 4.2901
_cell_angle_alpha 89.95
_cell_angle_beta 90.96
_cell_angle_gamma 90.96
_symmetry_space_group_name_H-M 'P 1'
_symmetry_Int_Tables_number 1
loop_
_symmetry_equiv_pos_as_xyz
'x,y,z'
loop_
_atom_site_label
_atom_site_type_symbol
_atom_site_fract_x
_atom_site_fract_y
_atom_site_fract_z
Be1 Be 0.0000 0.0000 0.5000
Be2 Be 0.0000 0.5000 0.0000
Cl1 Cl 0.5000 0.0000 0.0000
Pt1 Pt 0.5000 0.5000 0.5000
```

=====

Entry 3:
Entry from Alexandria via LeMat-Bulk: a crystal of LaSc2 relaxed with PBEsol (SCAN).

Total DFT energy (no corrections), eV per atom: -23.7534
Volume, Å³ per atom: 26.74
Space-group type: Amm2, No. 38
Formation enthalpy at 0 K, eV per atom: 0.106
Excess energy over the best structure of this formula in the dataset, meV/atom: 39.4

The structure in CIF format:
```
data_LaSc2
_chemical_formula_sum 'La2 Sc4'
_cell_length_a 3.3970
_cell_length_b 5.3556
_cell_length_c 8.9802
_cell_angle_alpha 90.00
_cell_angle_beta 100.90
_cell_angle_gamma 90.00
_symmetry_space_group_name_H-M 'P 1'
_symmetry_Int_Tables_number 1
loop_
_symmetry_equiv_pos_as_xyz
'x,y,z'
loop_
_atom_site_label
_atom_site_type_symbol
_atom_site_fract_x
_atom_site_fract_y
_atom_site_fract_z
Sc1 Sc 0.3323 0.0000 0.6645
Sc2 Sc 0.2282 0.5000 0.4564
Sc3 Sc 0.8866 0.5000 0.7733
Sc4 Sc 0.5520 0.5000 0.1041
La1 La 0.6672 0.0000 0.3345
La2 La 0.0003 0.0000 0.0006
```

=====

Entry 4:
Entry from Alexandria via LeMat-Bulk: a crystal of Cr3Re4 relaxed with PBEsol (SCAN).

Total DFT energy (no corrections), eV per atom: -48.4884
Volume, Å³ per atom: 13.19
Space-group type: I4/mmm, No. 139
Formation enthalpy at 0 K, eV per atom: 0.018

The structure in CIF format:
```
data_Cr3Re4
_chemical_formula_sum 'Cr3 Re4'
_cell_length_a 2.9399
_cell_length_b 2.9399
_cell_length_c 10.8802
_cell_angle_alpha 97.76
_cell_angle_beta 97.76
_cell_angle_gamma 90.00
_symmetry_space_group_name_H-M 'P 1'
_symmetry_Int_Tables_number 1
loop_
_symmetry_equiv_pos_as_xyz
'x,y,z'
loop_
_atom_site_label
_atom_site_type_symbol
_atom_site_fract_x
_atom_site_fract_y
_atom_site_fract_z
Re1 Re 0.8511 0.8511 0.7023
Re2 Re 0.4309 0.4309 0.8618
Re3 Re 0.5691 0.5691 0.1382
Re4 Re 0.1489 0.1489 0.2977
Cr1 Cr 0.7203 0.7203 0.4407
Cr2 Cr 0.2797 0.2797 0.5593
Cr3 Cr 0.0000 0.0000 0.0000
```

=====

Entry 5:
Entry from Alexandria via LeMat-Bulk: a crystal of SiNiPb relaxed with PBEsol (SCAN).

Total DFT energy (no corrections), eV per atom: -33.7664
Volume, Å³ per atom: 17.67
Raw formation energy, eV per formula unit: 0.67
Space-group type: I4mm, No. 107

The structure in CIF format:
```
data_SiNiPb
_chemical_formula_sum 'Si1 Ni1 Pb1'
_cell_length_a 3.0567
_cell_length_b 3.0567
_cell_length_c 6.0714
_cell_angle_alpha 104.58
_cell_angle_beta 104.58
_cell_angle_gamma 90.00
_symmetry_space_group_name_H-M 'P 1'
_symmetry_Int_Tables_number 1
loop_
_symmetry_equiv_pos_as_xyz
'x,y,z'
loop_
_atom_site_label
_atom_site_type_symbol
_atom_site_fract_x
_atom_site_fract_y
_atom_site_fract_z
Si1 Si 0.6187 0.6187 0.2374
Ni1 Ni 0.0384 0.0384 0.0769
Pb1 Pb 0.3428 0.3428 0.6857
```

=====

Entry 6:
Entry from Alexandria via LeMat-Bulk: a crystal of AgPPb2 relaxed with PBEsol (SCAN).

Total DFT energy (no corrections), eV per atom: -47.8444
Volume, Å³ per atom: 22.81
Space-group type: F-43m, No. 216
Formation enthalpy at 0 K, eV per atom: 0.488

The structure in CIF format:
```
data_AgPPb2
_chemical_formula_sum 'Ag1 P1 Pb2'
_cell_length_a 5.0536
_cell_length_b 5.0536
_cell_length_c 5.0536
_cell_angle_alpha 60.00
_cell_angle_beta 60.00
_cell_angle_gamma 60.00
_symmetry_space_group_name_H-M 'P 1'
_symmetry_Int_Tables_number 1
loop_
_symmetry_equiv_pos_as_xyz
'x,y,z'
loop_
_atom_site_label
_atom_site_type_symbol
_atom_site_fract_x
_atom_site_fract_y
_atom_site_fract_z
Ag1 Ag 0.5000 0.5000 0.5000
Pb1 Pb 0.2500 0.2500 0.2500
Pb2 Pb 0.0000 0.0000 0.0000
P1 P 0.7500 0.7500 0.7500
```

=====

Entry 7:
Entry from Alexandria via LeMat-Bulk: a crystal of Sn3WCl relaxed with PBEsol (SCAN).

Total DFT energy (no corrections), eV per atom: -36.9644
Volume, Å³ per atom: 28.00
Raw formation energy, eV per formula unit: 0.61
Space-group type: Pm-3m, No. 221

The structure in CIF format:
```
data_Sn3WCl
_chemical_formula_sum 'Sn3 W1 Cl1'
_cell_length_a 5.1925
_cell_length_b 5.1925
_cell_length_c 5.1925
_cell_angle_alpha 90.00
_cell_angle_beta 90.00
_cell_angle_gamma 90.00
_symmetry_space_group_name_H-M 'P 1'
_symmetry_Int_Tables_number 1
loop_
_symmetry_equiv_pos_as_xyz
'x,y,z'
loop_
_atom_site_label
_atom_site_type_symbol
_atom_site_fract_x
_atom_site_fract_y
_atom_site_fract_z
Sn1 Sn 0.0000 0.5000 0.0000
Sn2 Sn 0.0000 0.0000 0.5000
Sn3 Sn 0.5000 0.0000 0.0000
Cl1 Cl 0.5000 0.5000 0.5000
W1 W 0.0000 0.0000 0.0000
```

=====

Entry 8:
Entry from Alexandria via LeMat-Bulk: a crystal of RbSr2NbN relaxed with PBEsol (SCAN).

Total DFT energy (no corrections), eV per atom: -20.9919
Volume, Å³ per atom: 35.71
Raw formation energy, eV per formula unit: 2.75
Space-group type: P4/mmm, No. 123

The structure in CIF format:
```
data_RbSr2NbN
_chemical_formula_sum 'Rb1 Sr2 Nb1 N1'
_cell_length_a 4.0567
_cell_length_b 6.6344
_cell_length_c 6.6344
_cell_angle_alpha 90.00
_cell_angle_beta 90.00
_cell_angle_gamma 90.00
_symmetry_space_group_name_H-M 'P 1'
_symmetry_Int_Tables_number 1
loop_
_symmetry_equiv_pos_as_xyz
'x,y,z'
loop_
_atom_site_label
_atom_site_type_symbol
_atom_site_fract_x
_atom_site_fract_y
_atom_site_fract_z
Rb1 Rb 0.5000 0.5000 0.5000
Nb1 Nb 0.0000 0.0000 0.0000
Sr1 Sr 0.0000 0.5000 0.0000
Sr2 Sr 0.0000 0.0000 0.5000
N1 N 0.5000 0.0000 0.0000
```

=====

What is the formula in the first record? LuCrB4

=====

Which value of total DFT energy (no corrections) does entry 4 give? -48.4884 eV per atom

=====

volume of number 8 (RbSr2NbN)? 35.71 Å³ per atom